Here is a relaxed structure of YSbMo3 from the Alexandria database. Energies are from PBE-GGA.

ΔE_f (raw) = 1.376 eV per atom
magnetization = 0.000 μB/f.u.
final energy = -36.2 eV per formula unit
symmetry = Pm-3m (221)

Unit cell a=4.943 b=4.943 c=4.943 alpha=90.00 beta=90.00 gamma=90.00
Element x y z (fractional)
Y: 0.000 0.000 0.000
Sb: 0.500 0.500 0.500
Mo: 0.000 0.500 0.500
Mo: 0.500 0.000 0.500
Mo: 0.500 0.500 0.000

=====

Here is a relaxed structure of CuNiAu3 from the Alexandria database. Energies are from PBE-GGA.

DFT formation energy = 842 meV per atom
magnetization = 0.000 μB/f.u.
final energy = -15.5 eV per formula unit
symmetry = Pm-3m (221)

Unit cell a=4.731 b=4.731 c=4.731 alpha=90.00 beta=90.00 gamma=90.00
Element x y z (fractional)
Cu: 0.000 0.000 0.000
Ni: 0.500 0.500 0.500
Au: 0.000 0.500 0.500
Au: 0.500 0.000 0.500
Au: 0.500 0.500 0.000

=====

Here is a relaxed structure of K2RbSrTl from the Alexandria database. Energies are from PBE-GGA.

DFT formation energy = 28 meV per atom
magnetization = 0.000 μB/f.u.
final energy = -7.1 eV per formula unit
symmetry = P4/mmm (123)

Unit cell a=7.048 b=7.048 c=6.509 alpha=90.00 beta=90.00 gamma=90.00
Element x y z (fractional)
K: 0.000 0.500 0.000
K: 0.500 0.000 0.000
Rb: 0.000 0.000 0.500
Sr: 0.500 0.500 0.500
Tl: 0.500 0.500 0.000

=====

Here is a relaxed structure of La5Tb2Pm from the Alexandria database. Energies are from PBE-GGA.

DFT formation energy = 127 meV per atom
magnetization = 0.000 μB/f.u.
final energy = -37.6 eV per formula unit
symmetry = C2/c (15)

Unit cell a=9.894 b=9.894 c=6.757 alpha=99.84 beta=99.84 gamma=62.36
Element x y z (fractional)
La: 0.062 0.938 0.750
La: 0.122 0.291 0.025
La: 0.291 0.122 0.525
La: 0.314 0.502 0.845
La: 0.498 0.686 0.655
La: 0.502 0.314 0.345
La: 0.686 0.498 0.155
La: 0.709 0.878 0.475
La: 0.878 0.709 0.975
La: 0.938 0.062 0.250
Tb: 0.175 0.659 0.350
Tb: 0.341 0.825 0.150
Tb: 0.659 0.175 0.850
Tb: 0.825 0.341 0.650
Pm: 0.000 0.500 0.500
Pm: 0.500 0.000 0.000

=====

Here is a relaxed structure of Ac4Pm3SmSe8 from the Alexandria database. Energies are from PBE-GGA.

ΔE_f (raw) = -1.839 eV per atom
magnetization = 0.000 μB/f.u.
final energy = -92.7 eV per formula unit
symmetry = R-3m (166)

Unit cell a=8.691 b=8.691 c=8.691 alpha=59.47 beta=59.47 gamma=59.47
Element x y z (fractional)
Ac: 0.000 0.000 0.000
Ac: 0.000 0.500 0.500
Ac: 0.500 0.000 0.500
Ac: 0.500 0.500 0.000
Pm: 0.000 0.000 0.500
Pm: 0.000 0.500 0.000
Pm: 0.500 0.000 0.000
Sm: 0.500 0.500 0.500
Se: 0.244 0.244 0.244
Se: 0.245 0.743 0.743
Se: 0.257 0.257 0.755
Se: 0.257 0.755 0.257
Se: 0.743 0.245 0.743
Se: 0.743 0.743 0.245
Se: 0.755 0.257 0.257
Se: 0.756 0.756 0.756

=====

Here is a relaxed structure of BiSb2AsI from the Alexandria database. Energies are from PBE-GGA.

ΔE_f (raw) = 0.539 eV per atom
magnetization = 0.000 μB/f.u.
final energy = -15.6 eV per formula unit
symmetry = P4/mmm (123)

Unit cell a=5.521 b=5.521 c=5.398 alpha=90.00 beta=90.00 gamma=90.00
Element x y z (fractional)
Bi: 0.000 0.000 0.000
Sb: 0.000 0.500 0.500
Sb: 0.500 0.000 0.500
As: 0.500 0.500 0.500
I: 0.500 0.500 0.000

=====

Here is a relaxed structure of MnBe3 from the Alexandria database. Energies are from PBE-GGA.

DFT formation energy = 7 meV per atom
magnetization = 0.002 μB/f.u.
final energy = -20.3 eV per formula unit
symmetry = Pmm2 (25)

Unit cell a=2.325 b=3.750 c=4.049 alpha=90.00 beta=90.00 gamma=90.00
Element x y z (fractional)
Mn: 0.000 0.000 0.000
Be: 0.000 0.500 0.672
Be: 0.500 0.000 0.502
Be: 0.500 0.500 0.153

=====

Here is a relaxed structure of KMnSi from the Alexandria database. Energies are from PBE-GGA.

ΔE_f (raw) = 0.855 eV per atom
magnetization = 4.002 μB/f.u.
final energy = -13.1 eV per formula unit
symmetry = F-43m (216)

Unit cell a=6.733 b=6.733 c=6.733 alpha=90.00 beta=90.00 gamma=90.00
Element x y z (fractional)
K: 0.000 0.000 0.000
K: 0.000 0.500 0.500
K: 0.500 0.000 0.500
K: 0.500 0.500 0.000
Mn: 0.250 0.250 0.250
Mn: 0.250 0.750 0.750
Mn: 0.750 0.250 0.750
Mn: 0.750 0.750 0.250
Si: 0.000 0.000 0.500
Si: 0.000 0.500 0.000
Si: 0.500 0.000 0.000
Si: 0.500 0.500 0.500

=====

| no. | ρ (Mg/m³) |
| --- | --- |
| 1 | 6.9 |
| 2 | 11.2 |
| 3 | 2.3 |
| 4 | 6.7 |
| 5 | 7.7 |
| 6 | 6.6 |
| 7 | 3.9 |
| 8 | 2.7 |